DFT (PBE-GGA) results for a geometry-optimized Tm2PuBi structure. Values from VASP.

Structure (Quantum ESPRESSO input):
```
&SYSTEM
  ibrav = 0, nat = 4, ntyp = 3
/
ATOMIC_SPECIES
Tm 168.93 Tm.upf
Pu 244.00 Pu.upf
Bi 208.98 Bi.upf
CELL_PARAMETERS angstrom
3.978 0.000 0.000
0.000 3.978 0.000
0.000 0.000 7.209
ATOMIC_POSITIONS angstrom
Tm 0.000 0.000 1.694
Tm 0.000 0.000 5.516
Pu 1.989 1.989 3.605
Bi 1.989 1.989 0.000
```

Properties
ρ ... 11.514 g/cm3
ΔH_f (0 K) ... -0.1974 eV/atom
Polymorph energy (0 for the lowest one) ... 42 meV per atom


DFT (PBE-GGA) results for a geometry-optimized CsPu2MgI8 structure. Values from VASP.

Structure (Quantum ESPRESSO input):
```
&SYSTEM
  ibrav = 0, nat = 12, ntyp = 4
/
ATOMIC_SPECIES
Cs 132.91 Cs.upf
Pu 244.00 Pu.upf
Mg 24.30 Mg.upf
I 126.90 I.upf
CELL_PARAMETERS angstrom
7.389 0.000 0.000
0.569 7.717 0.000
0.011 0.008 9.875
ATOMIC_POSITIONS angstrom
Cs 0.000 0.000 0.000
Pu 3.982 3.862 2.584
Pu 3.987 3.863 7.291
Mg 0.006 0.004 4.937
I 2.287 6.512 6.920
I 2.289 6.515 2.953
I 2.128 2.663 4.939
I 2.269 2.973 0.003
I 5.700 4.752 9.871
I 5.841 5.061 4.936
I 5.680 1.210 6.922
I 5.681 1.213 2.955
```

Properties
E_form (uncorrected) ... -1084 meV per atom
ρ ... 4.897 g/cm3


DFT (PBE-GGA) results for a geometry-optimized Rb2HoU2Se6 structure. Values from VASP.

Structure (Quantum ESPRESSO input):
```
&SYSTEM
  ibrav = 0, nat = 11, ntyp = 4
/
ATOMIC_SPECIES
Rb 85.47 Rb.upf
Ho 164.93 Ho.upf
U 238.03 U.upf
Se 78.96 Se.upf
CELL_PARAMETERS angstrom
3.622 -6.272 0.000
3.622 6.272 0.000
-2.392 0.000 8.212
ATOMIC_POSITIONS angstrom
Rb 3.622 4.187 0.000
Rb 3.622 -4.187 0.000
Ho -1.196 0.000 4.106
U 2.426 2.084 4.106
U 2.426 -2.084 4.106
Se 0.010 2.092 5.679
Se 1.210 0.000 2.530
Se 0.010 -2.092 5.679
Se 4.841 2.092 2.533
Se 3.641 0.000 5.682
Se 4.841 -2.092 2.533
```

Properties
E_form (uncorrected) ... -1418 meV per atom
ρ ... 5.722 g/cm3


DFT (PBE-GGA) results for a geometry-optimized PuZr2Co structure. Values from VASP.

Structure (Quantum ESPRESSO input):
```
&SYSTEM
  ibrav = 0, nat = 4, ntyp = 3
/
ATOMIC_SPECIES
Pu 244.00 Pu.upf
Zr 91.22 Zr.upf
Co 58.93 Co.upf
CELL_PARAMETERS angstrom
3.209 0.000 0.000
0.000 3.209 0.000
0.000 0.000 7.730
ATOMIC_POSITIONS angstrom
Pu 0.000 0.000 0.000
Zr 1.604 1.604 2.272
Zr 1.604 1.604 5.459
Co 0.000 0.000 3.865
```

Properties
ρ ... 10.126 g/cm3
ΔH_f (0 K) ... -0.0573 eV/atom
Polymorph energy (0 for the lowest one) ... 0 meV per atom


DFT (PBE-GGA) results for a geometry-optimized SrAlGa2Pt4 structure. Values from VASP.

Structure (Quantum ESPRESSO input):
```
&SYSTEM
  ibrav = 0, nat = 8, ntyp = 4
/
ATOMIC_SPECIES
Sr 87.62 Sr.upf
Al 26.98 Al.upf
Ga 69.72 Ga.upf
Pt 195.08 Pt.upf
CELL_PARAMETERS angstrom
2.161 1.247 9.224
-2.161 1.247 9.224
0.000 -2.495 9.224
ATOMIC_POSITIONS angstrom
Sr 0.000 0.000 0.000
Al 0.000 0.000 13.836
Ga 0.000 0.000 6.750
Ga 0.000 0.000 20.922
Pt 0.000 0.000 3.838
Pt 0.000 0.000 11.365
Pt 0.000 0.000 16.307
Pt 0.000 0.000 23.833
```

Properties
ρ ... 11.515 g/cm3
ΔH_f (0 K) ... -0.8265 eV/atom


DFT (PBE-GGA) results for a geometry-optimized ScSn3 structure. Values from VASP.

Structure (Quantum ESPRESSO input):
```
&SYSTEM
  ibrav = 0, nat = 8, ntyp = 2
/
ATOMIC_SPECIES
Sc 44.96 Sc.upf
Sn 118.71 Sn.upf
CELL_PARAMETERS angstrom
6.331 0.000 0.000
-3.166 5.483 0.000
0.000 0.000 5.756
ATOMIC_POSITIONS angstrom
Sc 0.000 3.655 1.439
Sc 3.166 1.828 4.317
Sn 0.000 1.848 4.317
Sn -1.565 4.559 4.317
Sn 1.601 0.924 1.439
Sn 1.565 4.559 4.317
Sn 4.731 0.924 1.439
Sn 3.166 3.635 1.439
```

Properties
ρ ... 6.666 g/cm3
ΔH_f (0 K) ... -0.2618 eV/atom


DFT (PBE-GGA) results for a geometry-optimized HfSbP2Cl structure. Values from VASP.

Structure (Quantum ESPRESSO input):
```
&SYSTEM
  ibrav = 0, nat = 5, ntyp = 4
/
ATOMIC_SPECIES
Hf 178.49 Hf.upf
Sb 121.76 Sb.upf
P 30.97 P.upf
Cl 35.45 Cl.upf
CELL_PARAMETERS angstrom
5.044 0.000 0.000
0.000 5.044 0.000
0.000 0.000 4.827
ATOMIC_POSITIONS angstrom
Hf 0.000 0.000 0.000
Sb 2.522 2.522 2.414
P 0.000 2.522 2.414
P 2.522 0.000 2.414
Cl 2.522 2.522 0.000
```

Properties
E_form (uncorrected) ... 802 meV per atom
ρ ... 5.376 g/cm3
Polymorph energy (0 for the lowest one) ... 865 meV per atom


DFT (PBE-GGA) results for a geometry-optimized CeNdTmZr structure. Values from VASP.

Structure (Quantum ESPRESSO input):
```
&SYSTEM
  ibrav = 0, nat = 16, ntyp = 4
/
ATOMIC_SPECIES
Ce 140.12 Ce.upf
Nd 144.24 Nd.upf
Tm 168.93 Tm.upf
Zr 91.22 Zr.upf
CELL_PARAMETERS angstrom
7.796 0.000 0.000
0.000 7.796 0.000
0.000 0.000 7.796
ATOMIC_POSITIONS angstrom
Ce 0.000 0.000 0.000
Ce 0.000 3.898 3.898
Ce 3.898 0.000 3.898
Ce 3.898 3.898 0.000
Nd 1.949 1.949 1.949
Nd 1.949 5.847 5.847
Nd 5.847 1.949 5.847
Nd 5.847 5.847 1.949
Tm 0.000 0.000 3.898
Tm 0.000 3.898 0.000
Tm 3.898 0.000 0.000
Tm 3.898 3.898 3.898
Zr 1.949 1.949 5.847
Zr 1.949 5.847 1.949
Zr 5.847 1.949 1.949
Zr 5.847 5.847 5.847
```

Properties
ρ ... 7.634 g/cm3
ΔH_f (0 K) ... 0.2560 eV/atom


DFT (PBE-GGA) results for a geometry-optimized Dy2HgP structure. Values from VASP.

Structure (Quantum ESPRESSO input):
```
&SYSTEM
  ibrav = 0, nat = 12, ntyp = 3
/
ATOMIC_SPECIES
Dy 162.50 Dy.upf
Hg 200.59 Hg.upf
P 30.97 P.upf
CELL_PARAMETERS angstrom
3.909 0.000 0.000
-1.954 3.385 0.000
0.000 0.000 23.116
ATOMIC_POSITIONS angstrom
Dy 0.000 0.000 5.453
Dy 0.000 0.000 17.663
Dy 0.000 2.257 9.957
Dy 0.000 2.257 20.864
Dy 1.954 1.128 2.252
Dy 1.954 1.128 13.159
Hg 0.000 0.000 0.000
Hg 0.000 2.257 15.411
Hg 1.954 1.128 7.705
P 0.000 0.000 11.558
P 0.000 2.257 3.853
P 1.954 1.128 19.263
```

Properties
ρ ... 9.066 g/cm3
ΔH_f (0 K) ... -0.9970 eV/atom
Polymorph energy (0 for the lowest one) ... 0 meV per atom


DFT (PBE-GGA) results for a geometry-optimized SrCuTc structure. Values from VASP.

Structure (Quantum ESPRESSO input):
```
&SYSTEM
  ibrav = 0, nat = 3, ntyp = 3
/
ATOMIC_SPECIES
Sr 87.62 Sr.upf
Cu 63.55 Cu.upf
Tc 98.00 Tc.upf
CELL_PARAMETERS angstrom
4.867 0.000 0.000
-2.433 4.215 0.000
0.000 0.000 2.854
ATOMIC_POSITIONS angstrom
Sr 0.000 0.000 0.000
Cu 0.000 2.810 1.427
Tc 2.433 1.405 1.427
```

Properties
ρ ... 7.067 g/cm3
ΔH_f (0 K) ... 0.8517 eV/atom
Polymorph energy (0 for the lowest one) ... 236 meV per atom


DFT (PBE-GGA) results for a geometry-optimized Pr12Ir6Pb structure. Values from VASP.

Structure (Quantum ESPRESSO input):
```
&SYSTEM
  ibrav = 0, nat = 19, ntyp = 3
/
ATOMIC_SPECIES
Pr 140.91 Pr.upf
Ir 192.22 Ir.upf
Pb 207.20 Pb.upf
CELL_PARAMETERS angstrom
-5.198 5.198 5.198
5.198 -5.198 5.198
5.198 5.198 -5.198
ATOMIC_POSITIONS angstrom
Pr 5.198 -2.021 3.221
Pr 3.177 1.976 0.000
Pr 7.219 1.976 0.000
Pr 3.221 5.198 -2.021
Pr 1.976 0.000 3.177
Pr 0.000 3.177 1.976
Pr 5.198 2.021 3.221
Pr 3.221 5.198 2.021
Pr 1.976 0.000 7.219
Pr -2.021 3.221 5.198
Pr 2.021 3.221 5.198
Pr 0.000 7.219 1.976
Ir 5.198 0.000 1.288
Ir 5.198 3.910 0.000
Ir 1.288 5.198 0.000
Ir 3.910 0.000 5.198
Ir 0.000 1.288 5.198
Ir 0.000 5.198 3.910
Pb 0.000 0.000 0.000
```

Properties
ρ ... 9.021 g/cm3
ΔH_f (0 K) ... -0.4834 eV/atom


DFT (PBE-GGA) results for a geometry-optimized Sc2AgP structure. Values from VASP.

Structure (Quantum ESPRESSO input):
```
&SYSTEM
  ibrav = 0, nat = 8, ntyp = 3
/
ATOMIC_SPECIES
Sc 44.96 Sc.upf
Ag 107.87 Ag.upf
P 30.97 P.upf
CELL_PARAMETERS angstrom
3.884 0.000 0.000
0.000 3.792 0.000
0.000 0.000 10.431
ATOMIC_POSITIONS angstrom
Sc 0.000 0.000 0.000
Sc 0.000 1.896 5.215
Sc 1.942 0.000 3.045
Sc 1.942 1.896 8.261
Ag 0.000 0.000 7.525
Ag 0.000 1.896 2.310
P 1.942 0.000 5.719
P 1.942 1.896 0.503
```

Properties
ρ ... 4.945 g/cm3
ΔH_f (0 K) ... -0.7293 eV/atom
Polymorph energy (0 for the lowest one) ... 25 meV per atom


DFT (PBE-GGA) results for a geometry-optimized ScIrIO2 structure. Values from VASP.

Structure (Quantum ESPRESSO input):
```
&SYSTEM
  ibrav = 0, nat = 5, ntyp = 4
/
ATOMIC_SPECIES
Sc 44.96 Sc.upf
Ir 192.22 Ir.upf
I 126.90 I.upf
O 16.00 O.upf
CELL_PARAMETERS angstrom
3.860 0.000 0.000
0.000 3.860 0.000
0.000 0.000 7.008
ATOMIC_POSITIONS angstrom
Sc 0.000 0.000 0.000
Ir 1.930 1.930 3.504
I 1.930 1.930 0.000
O 0.000 1.930 3.504
O 1.930 0.000 3.504
```

Properties
E_form (uncorrected) ... -267 meV per atom
ρ ... 6.300 g/cm3
Polymorph energy (0 for the lowest one) ... 308 meV per atom


DFT (PBE-GGA) results for a geometry-optimized K2Tl3AgI6 structure. Values from VASP.

Structure (Quantum ESPRESSO input):
```
&SYSTEM
  ibrav = 0, nat = 12, ntyp = 4
/
ATOMIC_SPECIES
K 39.10 K.upf
Tl 204.38 Tl.upf
Ag 107.87 Ag.upf
I 126.90 I.upf
CELL_PARAMETERS angstrom
4.276 -7.271 0.000
4.276 7.271 0.000
-2.895 0.000 8.103
ATOMIC_POSITIONS angstrom
K 4.276 4.905 0.000
K 4.276 -4.905 0.000
Tl -1.448 0.000 4.051
Tl 2.828 2.528 4.051
Tl 2.828 -2.528 4.051
Ag 4.276 0.000 0.000
I 0.143 2.170 6.295
I 1.564 0.000 2.072
I 0.143 -2.170 6.295
I 5.513 2.170 1.808
I 4.092 0.000 6.030
I 5.513 -2.170 1.808
```

Properties
E_form (uncorrected) ... -834 meV per atom
ρ ... 5.144 g/cm3


DFT (PBE-GGA) results for a geometry-optimized PrBe2Pt3 structure. Values from VASP.

Structure (Quantum ESPRESSO input):
```
&SYSTEM
  ibrav = 0, nat = 18, ntyp = 3
/
ATOMIC_SPECIES
Pr 140.91 Pr.upf
Be 9.01 Be.upf
Pt 195.08 Pt.upf
CELL_PARAMETERS angstrom
9.322 0.000 0.000
-4.661 8.073 0.000
0.000 0.000 3.838
ATOMIC_POSITIONS angstrom
Pr 0.000 0.000 0.000
Pr 0.000 5.382 1.919
Pr 4.661 2.691 1.919
Be 0.000 2.913 0.000
Be -2.139 6.617 0.000
Be 2.522 1.456 0.000
Be 2.139 6.617 0.000
Be 6.800 1.456 0.000
Be 4.661 5.160 0.000
Pt -1.357 2.351 1.919
Pt -2.331 4.037 0.000
Pt -3.304 5.722 1.919
Pt 2.715 0.000 1.919
Pt 1.357 2.351 1.919
Pt 4.661 0.000 0.000
Pt 2.331 4.037 0.000
Pt 6.607 0.000 1.919
Pt 3.304 5.722 1.919
```

Properties
ρ ... 12.836 g/cm3
ΔH_f (0 K) ... -0.7575 eV/atom


DFT (PBE-GGA) results for a geometry-optimized Cu2TcMo structure. Values from VASP.

Structure (Quantum ESPRESSO input):
```
&SYSTEM
  ibrav = 0, nat = 16, ntyp = 3
/
ATOMIC_SPECIES
Cu 63.55 Cu.upf
Tc 98.00 Tc.upf
Mo 95.94 Mo.upf
CELL_PARAMETERS angstrom
6.016 0.000 0.000
0.000 6.016 0.000
0.000 0.000 6.016
ATOMIC_POSITIONS angstrom
Cu 1.504 1.504 1.504
Cu 1.504 1.504 4.512
Cu 1.504 4.512 1.504
Cu 1.504 4.512 4.512
Cu 4.512 1.504 1.504
Cu 4.512 1.504 4.512
Cu 4.512 4.512 1.504
Cu 4.512 4.512 4.512
Tc 0.000 0.000 0.000
Tc 0.000 3.008 3.008
Tc 3.008 0.000 3.008
Tc 3.008 3.008 0.000
Mo 0.000 0.000 3.008
Mo 0.000 3.008 0.000
Mo 3.008 0.000 0.000
Mo 3.008 3.008 3.008
```

Properties
ρ ... 9.795 g/cm3
ΔH_f (0 K) ... 0.4556 eV/atom
Polymorph energy (0 for the lowest one) ... 290 meV per atom


DFT (PBE-GGA) results for a geometry-optimized KBa6Sr12 structure. Values from VASP.

Structure (Quantum ESPRESSO input):
```
&SYSTEM
  ibrav = 0, nat = 19, ntyp = 3
/
ATOMIC_SPECIES
K 39.10 K.upf
Ba 137.33 Ba.upf
Sr 87.62 Sr.upf
CELL_PARAMETERS angstrom
7.359 4.249 6.078
-7.359 4.249 6.078
0.000 -8.498 6.078
ATOMIC_POSITIONS angstrom
K 0.000 0.000 0.000
Ba -4.546 1.320 6.785
Ba -3.416 -3.277 11.448
Ba 1.130 -4.597 6.785
Ba -1.130 4.597 11.448
Ba 3.416 3.277 6.785
Ba 4.546 -1.320 11.448
Sr -0.841 -2.369 3.498
Sr -1.631 1.913 3.498
Sr -2.032 -1.918 7.531
Sr 2.472 0.456 3.498
Sr -2.677 0.801 10.702
Sr -0.645 2.719 7.531
Sr 0.645 -2.719 10.702
Sr 2.677 -0.801 7.531
Sr -2.472 -0.456 14.736
Sr 2.032 1.918 10.702
Sr 1.631 -1.913 14.736
Sr 0.841 2.369 14.736
```

Properties
ρ ... 2.788 g/cm3
ΔH_f (0 K) ... 0.0844 eV/atom


DFT (PBE-GGA) results for a geometry-optimized AcDyY structure. Values from VASP.

Structure (Quantum ESPRESSO input):
```
&SYSTEM
  ibrav = 0, nat = 3, ntyp = 3
/
ATOMIC_SPECIES
Ac 227.00 Ac.upf
Dy 162.50 Dy.upf
Y 88.91 Y.upf
CELL_PARAMETERS angstrom
3.734 0.000 0.000
-1.867 3.233 0.000
0.000 0.000 8.929
ATOMIC_POSITIONS angstrom
Ac 0.000 0.000 0.000
Dy 1.867 1.078 3.048
Y 0.000 2.156 5.858
```

Properties
ρ ... 7.369 g/cm3
ΔH_f (0 K) ... 0.0545 eV/atom
Polymorph energy (0 for the lowest one) ... 0 meV per atom


DFT (PBE-GGA) results for a geometry-optimized SmSc5Ga3 structure. Values from VASP.

Structure (Quantum ESPRESSO input):
```
&SYSTEM
  ibrav = 0, nat = 18, ntyp = 3
/
ATOMIC_SPECIES
Sm 150.36 Sm.upf
Sc 44.96 Sc.upf
Ga 69.72 Ga.upf
CELL_PARAMETERS angstrom
8.493 0.000 0.000
-4.246 7.355 0.000
0.000 0.000 6.210
ATOMIC_POSITIONS angstrom
Sm 0.000 0.000 0.000
Sm 0.000 0.000 3.105
Sc -1.426 2.470 1.552
Sc -2.820 4.885 4.657
Sc 0.000 4.903 0.000
Sc 0.000 4.903 3.105
Sc 2.852 0.000 1.552
Sc 1.426 2.470 4.657
Sc 5.641 0.000 4.657
Sc 2.820 4.885 1.552
Sc 4.246 2.452 0.000
Sc 4.246 2.452 3.105
Ga -1.446 2.504 4.657
Ga -2.801 4.851 1.552
Ga 2.891 0.000 4.657
Ga 1.446 2.504 1.552
Ga 5.601 0.000 1.552
Ga 2.801 4.851 4.657
```

Properties
ρ ... 5.003 g/cm3
ΔH_f (0 K) ... -0.4429 eV/atom


DFT (PBE-GGA) results for a geometry-optimized CdOsAu2 structure. Values from VASP.

Structure (Quantum ESPRESSO input):
```
&SYSTEM
  ibrav = 0, nat = 8, ntyp = 3
/
ATOMIC_SPECIES
Cd 112.41 Cd.upf
Os 190.23 Os.upf
Au 196.97 Au.upf
CELL_PARAMETERS angstrom
9.664 0.000 0.000
0.000 2.802 0.000
-0.907 0.000 5.187
ATOMIC_POSITIONS angstrom
Cd 0.000 0.000 0.000
Cd 4.832 1.401 0.000
Os -0.454 1.401 2.594
Os 4.378 0.000 2.594
Au 1.677 0.000 3.830
Au 2.247 1.401 1.357
Au 6.509 1.401 3.830
Au 7.079 0.000 1.357
```

Properties
ρ ... 16.469 g/cm3
ΔH_f (0 K) ... 0.4633 eV/atom


Short version: Fermi-level density of states = 8.71 30.59 12.39 5.72 3.30 1.54 3.44 9.10 2.97 3.18 9.29 3.47 5.03 0.00 3.89 3.39 22.34 4.72 9.52 3.33 states/eV/f.u., in the order given.
Short version: total magnetic moment = 1.71 0.92 0.45 1.12 0.00 0.00 0.10 0.82 0.00 0.00 0.00 0.00 0.00 0.00 0.00 0.00 0.00 0.00 0.00 0.00 μB/atom, in the order given.
Short version: volume = 28.51 46.92 33.92 19.90 18.65 24.98 24.56 29.61 25.49 19.52 29.56 19.20 20.88 41.98 16.05 13.61 60.01 35.93 21.55 17.56 Å³/atom, in the order given.